[1]
Computed, not measured: a relaxed structure of Pm2Al2Si3 at the GGA-PBE level of DFT.

POSCAR file:
```
Pm2Al2Si3
1.0
2.0942 -9.0923 0.0000
2.0942 9.0923 0.0000
0.0000 0.0000 7.3155
Pm Al Si
4 4 6
Direct
0.0563 0.9437 0.7500 Pm
0.1510 0.8490 0.2500 Pm
0.8490 0.1510 0.7500 Pm
0.9437 0.0563 0.2500 Pm
0.3150 0.6850 0.0610 Al
0.3150 0.6850 0.4390 Al
0.6850 0.3150 0.5610 Al
0.6850 0.3150 0.9390 Al
0.2250 0.7750 0.7500 Si
0.4439 0.5561 0.5797 Si
0.4439 0.5561 0.9203 Si
0.5561 0.4439 0.0797 Si
0.5561 0.4439 0.4203 Si
0.7750 0.2250 0.2500 Si
```

Computed properties:
Energy relative to the elements, uncorrected ... -320 kJ/mol of formula units
Magnetic moment ... 0.000 Bohr magnetons per cell
Symmetry ... Cmcm, No. 63
D(E_F) ... 2.640 states/eV/f.u.

---

[2]
Computed, not measured: a relaxed structure of Rb3PdAu at the GGA-PBE level of DFT.

POSCAR file:
```
Rb3PdAu
1.0
6.3664 0.0000 0.0000
0.0000 6.3664 0.0000
0.0000 0.0000 6.3664
Rb Pd Au
3 1 1
Direct
0.0000 0.0000 0.5000 Rb
0.0000 0.5000 0.0000 Rb
0.5000 0.0000 0.0000 Rb
0.0000 0.0000 0.0000 Pd
0.5000 0.5000 0.5000 Au
```

Computed properties:
Magnetic moment ... 0.000 Bohr magnetons per cell
Symmetry ... Pm-3m, No. 221
D(E_F) ... 0.000 states/eV/f.u.
Calculated formation energy ... 0.049 eV per atom

---

[3]
Computed, not measured: a relaxed structure of Tb4Pr6Th at the GGA-PBE level of DFT.

POSCAR file:
```
Tb4Pr6Th
1.0
2.9759 -4.8876 0.0000
2.9759 4.8876 0.0000
0.0000 0.0000 26.0722
Tb Pr Th
8 12 2
Direct
0.0534 0.9466 0.6237 Tb
0.0534 0.9466 0.8763 Tb
0.3515 0.6485 0.5428 Tb
0.3515 0.6485 0.9572 Tb
0.6485 0.3515 0.0428 Tb
0.6485 0.3515 0.4572 Tb
0.9466 0.0534 0.1237 Tb
0.9466 0.0534 0.3763 Tb
0.0000 0.0000 0.0000 Pr
0.0000 0.0000 0.5000 Pr
0.0620 0.9380 0.7500 Pr
0.2937 0.7063 0.1005 Pr
0.2937 0.7063 0.3995 Pr
0.3881 0.6119 0.6813 Pr
0.3881 0.6119 0.8187 Pr
0.6119 0.3881 0.1813 Pr
0.6119 0.3881 0.3187 Pr
0.7063 0.2937 0.6005 Pr
0.7063 0.2937 0.8995 Pr
0.9380 0.0620 0.2500 Pr
0.2805 0.7195 0.2500 Th
0.7195 0.2805 0.7500 Th
```

Computed properties:
Magnetic moment ... 0.000 Bohr magnetons per cell
Symmetry ... Cmcm, No. 63
D(E_F) ... 18.215 states/eV/f.u.
Calculated formation energy ... 0.139 eV per atom

---

[4]
Computed, not measured: a relaxed structure of Nd3ErSn2C at the GGA-PBE level of DFT.

POSCAR file:
```
Nd3ErSn2C
1.0
-2.4105 2.4910 8.2666
2.4105 -2.4910 8.2666
2.4105 2.4910 -8.2666
Nd Er Sn C
3 1 2 1
Direct
0.0000 0.0000 0.0000 Nd
0.3387 0.8387 0.5000 Nd
0.6613 0.1613 0.5000 Nd
0.5000 0.5000 0.0000 Er
0.1378 0.6378 0.5000 Sn
0.8622 0.3622 0.5000 Sn
0.5000 0.0000 0.5000 C
```

Computed properties:
Magnetic moment ... 0.000 Bohr magnetons per cell
Symmetry ... Immm, No. 71
D(E_F) ... 1.093 states/eV/f.u.
Calculated formation energy ... -0.612 eV per atom